Density functional theory data (PBE) for Tm3InSn3 after structural relaxation.

Cell: 8.6972 8.6972 5.6105 Å, 90.00 90.00 120.00°
Closest atoms and distances in Å follow each position.
Space group P6_3/m (No. 176)
Symmetry-distinct sites (fractional):
Tm  0.0919  0.4479  0.2500  5 Sn 3.09-3.40, 3 In 3.31-3.45
In  0.3333  0.6667  0.7500  3 Sn 3.17, 9 Tm 3.31-3.45
Sn  0.0527  0.2545  0.7500  5 Tm 3.09-3.40, 1 In 3.17, 4 Sn 3.46

## Properties
Energy of formation from the pure elements: -0.3786 eV/atom
Spin magnetization: 0.00 μB per cell
DFT total energy: -4.40 eV/atom
Calculated density: 8.84 g/cm3